The following is a DFT calculation (PBE) of a relaxed structure of Ho4Al3Ni.

Unit cell a=3.7412 b=4.4142 c=11.2349 alpha=90.00 beta=90.00 gamma=90.00
Closest atoms and distances in Å follow each position.
Fractional coordinates of all 8 atoms:
Ni  0.5000  0.5000  0.0646  2 Al 2.64, 2 Ho 2.87
Ho  0.0000  0.5000  0.8707  2 Ni 2.87, 4 Al 2.98
Ho  0.0000  0.0000  0.1438  3 Al 3.00-3.20, 4 Ni 3.03
Ho  0.5000  0.5000  0.3330  1 Ni 3.02, 6 Al 3.09-3.22
Al  0.0000  0.5000  0.5661  2 Al 2.69
Al  0.0000  0.0000  0.4290  2 Al 2.69
Ho  0.5000  0.0000  0.6579  7 Al 3.07-3.18
Al  0.5000  0.0000  0.9349  2 Ni 2.64

- energy relative to the lowest polymorph listed for this composition (eV/atom) = 0.0161
- crystal system = orthorhombic
- total DFT energy (no corrections) (eV per atom) = -4.80
- space-group type = No. 25

The following is a DFT calculation (PBE) of a relaxed structure of HoAl12Ni4.

Unit cell a=7.4413 b=7.4413 c=7.4413 alpha=109.47 beta=109.47 gamma=109.47
Closest atoms and distances in Å follow each position.
Fractional coordinates of all 17 atoms:
Al  0.8033  0.6731  0.4765  2 Ni 2.29
Al  0.5235  0.1967  0.3269  2 Ni 2.29
Al  0.6731  0.8698  0.1967  2 Ni 2.29
Al  0.6731  0.4765  0.8033  2 Ni 2.29
Ho  0.0000  0.0000  0.0000  12 Al 3.28
Al  0.3269  0.5235  0.1967  2 Ni 2.29
Al  0.1967  0.6731  0.8698  2 Ni 2.29
Ni  0.5000  0.0000  0.0000  6 Al 2.29
Ni  0.0000  0.5000  0.0000  6 Al 2.29
Al  0.4765  0.8033  0.6731  2 Ni 2.29
Al  0.1967  0.3269  0.5235  2 Ni 2.29
Al  0.1302  0.8033  0.3269  2 Ni 2.29
Al  0.8033  0.3269  0.1302  2 Ni 2.29
Ni  0.5000  0.5000  0.5000  6 Al 2.29
Al  0.3269  0.1302  0.8033  2 Ni 2.29
Ni  0.0000  0.0000  0.5000  6 Al 2.29
Al  0.8698  0.1967  0.6731  2 Ni 2.29

- crystal system = cubic
- total DFT energy (no corrections) (eV per atom) = -4.37
- space-group type = No. 204

The following is a DFT calculation (PBE) of a relaxed structure of Ho3Al7Ni4.

Unit cell a=4.0840 b=7.8577 c=8.2114 alpha=70.50 beta=75.60 gamma=74.94
Closest atoms and distances in Å follow each position.
Fractional coordinates of all 14 atoms:
Al  0.1580  0.6055  0.0785  3 Ni 2.45-2.53
Al  0.0000  0.0000  0.0000  2 Ni 2.56
Al  0.3180  0.8416  0.5223  4 Ni 2.49-2.56, 1 Al 2.65
Ni  0.6642  0.4525  0.2190  5 Al 2.44-2.56
Ho  0.6923  0.8131  0.8024  4 Ni 2.91-2.98, 10 Al 2.98-3.19
Ho  0.3077  0.1869  0.1976  4 Ni 2.91-2.98, 10 Al 2.98-3.19
Ni  0.3358  0.5475  0.7810  5 Al 2.44-2.56
Al  0.8420  0.3945  0.9215  3 Ni 2.45-2.53
Al  0.4940  0.2246  0.7874  3 Ni 2.44-2.54, 1 Al 2.65
Ni  0.1155  0.1047  0.6644  6 Al 2.49-2.56
Ho  0.0000  0.5000  0.5000  6 Ni 2.91-3.12, 2 Al 3.21
Ni  0.8845  0.8953  0.3356  6 Al 2.49-2.56
Al  0.5060  0.7754  0.2126  3 Ni 2.44-2.54, 1 Al 2.65
Al  0.6820  0.1584  0.4777  4 Ni 2.49-2.56, 1 Al 2.65

- crystal system = monoclinic
- total DFT energy (no corrections) (eV per atom) = -5.11
- space-group type = No. 12

What did the first record say?
The following is a DFT calculation (PBE) of a relaxed structure of Ho4Al3Ni.

Unit cell a=3.7412 b=4.4142 c=11.2349 alpha=90.00 beta=90.00 gamma=90.00
Closest atoms and distances in Å follow each position.
Fractional coordinates of all 8 atoms:
Ni  0.5000  0.5000  0.0646  2 Al 2.64, 2 Ho 2.87
Ho  0.0000  0.5000  0.8707  2 Ni 2.87, 4 Al 2.98
Ho  0.0000  0.0000  0.1438  3 Al 3.00-3.20, 4 Ni 3.03
Ho  0.5000  0.5000  0.3330  1 Ni 3.02, 6 Al 3.09-3.22
Al  0.0000  0.5000  0.5661  2 Al 2.69
Al  0.0000  0.0000  0.4290  2 Al 2.69
Ho  0.5000  0.0000  0.6579  7 Al 3.07-3.18
Al  0.5000  0.0000  0.9349  2 Ni 2.64

- energy relative to the lowest polymorph listed for this composition (eV/atom) = 0.0161
- crystal system = orthorhombic
- total DFT energy (no corrections) (eV per atom) = -4.80
- space-group type = No. 25

Q: Which value of total DFT energy (no corrections) does entry 3 give?
A: -5.11 eV per atom

Q: Which of these has the highest total DFT energy (no corrections)?
A: HoAl12Ni4

Q: Number 1 is which compound?
A: Ho4Al3Ni